Density functional theory data (PBE) for a geometry-optimized KIn2Ag structure.

The structure in POSCAR format:
```
KIn2Ag
1.0
-2.6485 2.6485 3.8229
2.6485 -2.6485 3.8229
2.6485 2.6485 -3.8229
K In Ag
1 2 1
Cartesian
0.0000 0.0000 0.0000
0.0000 0.0000 3.8229
0.0000 2.6485 1.9114
2.6485 0.0000 1.9114
```

Output
- Energy of formation: 0.058 eV per atom

=====

Density functional theory data (PBE) for a geometry-optimized NaHo2Al structure.

The structure in POSCAR format:
```
NaHo2Al
1.0
0.0000 3.7216 3.7216
3.7216 0.0000 3.7216
3.7216 3.7216 0.0000
Na Ho Al
1 2 1
Cartesian
0.0000 0.0000 0.0000
1.8608 1.8608 1.8608
5.5823 5.5823 5.5823
3.7216 3.7216 3.7216
```

Output
- Energy of formation: -0.027 eV per atom

=====

Density functional theory data (PBE) for a geometry-optimized Sm3Al2SiPt9 structure.

The structure in POSCAR format:
```
Sm3Al2SiPt9
1.0
6.5927 0.0000 0.0000
-3.2964 5.7094 0.0000
0.0000 0.0000 8.3266
Sm Al Si Pt
3 2 1 9
Cartesian
0.0000 0.0000 0.0000
0.0000 3.8063 5.8876
3.2964 1.9031 2.4390
0.0000 3.8063 1.6207
3.2964 1.9031 6.7059
0.0000 0.0000 4.1633
-1.6482 2.8547 0.0000
0.0000 1.5973 2.4016
-1.9130 4.9108 2.4016
1.3833 0.7987 5.9250
3.2964 0.0000 0.0000
1.6482 2.8547 0.0000
1.9130 4.9108 2.4016
5.2094 0.7987 5.9250
3.2964 4.1121 5.9250
```

Output
- Formation energy without anion corrections: -0.724 eV/atom